First-principles (GGA-PBE) data for an optimized crystal structure of HoUTeSe2, as listed in Alexandria via LeMat-Bulk.

Cell and atoms, written as POSCAR:
```
HoUTeSe2
1.0
4.5691 0.0000 0.0000
0.0000 4.5691 0.0000
-2.2846 -2.2846 6.8991
Ho Se U Te
1 2 1 1
direct
0.8657 0.8657 0.7313 Ho
0.2510 0.7510 0.5021 Se
0.7510 0.2510 0.5021 Se
0.1264 0.1264 0.2529 U
0.5058 0.5058 0.0117 Te
```

Properties
Total moment (μB/atom): 0.5996
Formation energy (no corrections) (eV per atom): -0.95
Energy (eV for the cell shown): -30.7

First-principles (GGA-PBE) data for an optimized crystal structure of HoUTe2Se, as listed in Alexandria via LeMat-Bulk.

Cell and atoms, written as POSCAR:
```
HoUTe2Se
1.0
4.3607 0.0000 0.0000
0.0000 4.3607 0.0000
0.0000 0.0000 15.0939
Ho Se Te U
2 2 4 2
direct
0.0000 0.5000 0.9105 Ho
0.5000 0.0000 0.0895 Ho
0.5000 0.5000 0.5000 Se
0.0000 0.0000 0.5000 Se
0.0000 0.5000 0.1155 Te
0.5000 0.0000 0.2937 Te
0.5000 0.0000 0.8845 Te
0.0000 0.5000 0.7063 Te
0.0000 0.5000 0.3754 U
0.5000 0.0000 0.6246 U
```

Properties
Total moment (μB/atom): 0.4798
Formation energy (no corrections) (eV per atom): -1.03
Energy (eV for the cell shown): -61.5

Repeat the second record exactly.
First-principles (GGA-PBE) data for an optimized crystal structure of HoUTe2Se, as listed in Alexandria via LeMat-Bulk.

Cell and atoms, written as POSCAR:
```
HoUTe2Se
1.0
4.3607 0.0000 0.0000
0.0000 4.3607 0.0000
0.0000 0.0000 15.0939
Ho Se Te U
2 2 4 2
direct
0.0000 0.5000 0.9105 Ho
0.5000 0.0000 0.0895 Ho
0.5000 0.5000 0.5000 Se
0.0000 0.0000 0.5000 Se
0.0000 0.5000 0.1155 Te
0.5000 0.0000 0.2937 Te
0.5000 0.0000 0.8845 Te
0.0000 0.5000 0.7063 Te
0.0000 0.5000 0.3754 U
0.5000 0.0000 0.6246 U
```

Properties
Total moment (μB/atom): 0.4798
Formation energy (no corrections) (eV per atom): -1.03
Energy (eV for the cell shown): -61.5

Question: Look up the formation energy (no corrections) of the second one.
Answer: -1.03 eV per atom

Question: total moment of number 1 (HoUTeSe2)?
Answer: 0.5996 μB/atom

Repeat the first record exactly.
First-principles (GGA-PBE) data for an optimized crystal structure of HoUTeSe2, as listed in Alexandria via LeMat-Bulk.

Cell and atoms, written as POSCAR:
```
HoUTeSe2
1.0
4.5691 0.0000 0.0000
0.0000 4.5691 0.0000
-2.2846 -2.2846 6.8991
Ho Se U Te
1 2 1 1
direct
0.8657 0.8657 0.7313 Ho
0.2510 0.7510 0.5021 Se
0.7510 0.2510 0.5021 Se
0.1264 0.1264 0.2529 U
0.5058 0.5058 0.0117 Te
```

Properties
Total moment (μB/atom): 0.5996
Formation energy (no corrections) (eV per atom): -0.95
Energy (eV for the cell shown): -30.7